DFT (PBE) results for Cs2HgPt2 after structural relaxation.

Summary:
The symmetry is P4/mbm, No. 127. The calculation puts the total magnetization at 0.00 μB/cell. The formation energy comes out at 2.2 kJ per mole of atoms. Its final energy is -13.98 eV/f.u.

abc: 7.212 7.212 5.751
angles: 90.00 90.00 90.00
Element x y z (fractional)
Cs1 0.180 0.320 0.000
Cs2 0.320 0.820 0.000
Cs3 0.680 0.180 0.000
Cs4 0.820 0.680 0.000
Hg1 0.000 0.000 0.500
Hg2 0.500 0.500 0.500
Pt1 0.127 0.627 0.500
Pt2 0.373 0.127 0.500
Pt3 0.627 0.873 0.500
Pt4 0.873 0.373 0.500